An optimized crystal structure of CaCrCoF6. Source: the Alexandria database, functional GGA+U.

```
18
Lattice="-0.921 -0.192 4.834 0.819 -4.856 -0.037 9.943 1.663 1.960" Properties=species:S:1:pos:R:3 pbc="T T T"
F 8.649 -2.528 2.579
F 5.546 -3.161 1.847
F 3.186 -0.948 2.046
F 0.003 -3.433 3.289
F 7.625 0.218 5.447
F 4.441 -0.200 4.939
F 6.638 -0.352 2.709
F 1.139 -0.884 4.149
F 3.144 -3.024 4.019
F 6.596 -2.466 4.717
F 2.151 -3.596 1.317
F 0.040 -1.590 1.537
Co 1.605 -2.247 2.725
Co 6.627 1.108 1.306
Cr 3.295 0.551 0.649
Cr 8.216 -1.142 4.028
Ca 9.940 1.662 1.959
Ca 4.917 -1.693 3.378
```

Computed properties:
calculated total energy = -102.9 eV/cell
space group = P4_2nm (102)
total magnetic moment = 0.778 μB/atom